A relaxed PmMoIO4 crystal. Source: Alexandria via LeMat-Bulk, functional PBE+U.

abc: 11.061 7.413 7.222
angles: 90.00 105.68 90.00
Space group C2/m (No. 12)
One atom of each set of equivalent atoms:
Pm 0.245 0.000 0.134 x4
Mo 0.136 0.500 0.264 x4
I 0.019 0.000 0.752 x4
O 0.032 0.500 0.793 x4
O 0.191 0.312 0.146 x8
O 0.199 0.500 0.519 x4

VASP energy ... -6.819 eV per atom
M_tot ... 0.0000 μB per atom